[1]
The following is a DFT calculation (PBE) of crystalline Zr3SiTc at its relaxed geometry.

a b c (Å): 4.9583 4.9583 4.9583
angles (deg): 90.00 90.00 90.00
Element x y z (fractional)
Tc1 0.0000 0.0000 0.0000
Zr1 0.5000 0.0000 0.0000
Si1 0.5000 0.5000 0.5000
Zr2 0.0000 0.5000 0.0000
Zr3 0.0000 0.0000 0.5000

calculated total energy: -38.7 eV for the cell shown
N(E_F): 1.590 states/eV per atom
theoretical density: 5.4 g/cm³
excess energy over the best structure of this formula in the dataset: 0.000 eV per atom
formation energy without anion corrections: 546 meV per atom


[2]
The following is a DFT calculation (PBE) of crystalline Zr2Si2Tc at its relaxed geometry.

a b c (Å): 3.9467 5.2601 5.2601
angles (deg): 60.59 67.97 67.97
Element x y z (fractional)
Zr1 0.2074 0.2926 0.2926
Zr2 0.7926 0.7074 0.7074
Si1 0.5000 0.7266 0.2734
Si2 0.5000 0.2734 0.7266
Tc1 0.0000 0.0000 0.0000

calculated total energy: -42.4 eV for the cell shown
N(E_F): 0.563 states/eV per atom
theoretical density: 6.5 g/cm³
excess energy over the best structure of this formula in the dataset: 0.015 eV per atom
formation energy without anion corrections: -821 meV per atom


[3]
The following is a DFT calculation (PBE) of crystalline Zr2SiTc at its relaxed geometry.

a b c (Å): 8.2402 8.2402 8.2402
angles (deg): 23.13 23.13 23.13
Element x y z (fractional)
Tc1 0.7500 0.7500 0.7500
Zr1 0.0000 0.0000 0.0000
Zr2 0.5000 0.5000 0.5000
Si1 0.2500 0.2500 0.2500

calculated total energy: -33.6 eV for the cell shown
N(E_F): 0.998 states/eV per atom
theoretical density: 6.8 g/cm³
formation energy without anion corrections: -182 meV per atom


[4]
The following is a DFT calculation (PBE) of crystalline ZrSiTc2 at its relaxed geometry.

a b c (Å): 2.9682 4.0720 5.2563
angles (deg): 90.00 90.00 90.00
Element x y z (fractional)
Tc1 0.5000 0.5000 0.2329
Zr1 0.0000 0.0000 0.5013
Tc2 0.0000 0.0000 0.9995
Si1 0.5000 0.5000 0.7662

calculated total energy: -35.7 eV for the cell shown
N(E_F): 0.543 states/eV per atom
theoretical density: 8.2 g/cm³
formation energy without anion corrections: -242 meV per atom


[5]
The following is a DFT calculation (PBE) of crystalline ZrSi4Tc at its relaxed geometry.

a b c (Å): 4.9600 4.9600 4.9600
angles (deg): 60.00 60.00 60.00
Element x y z (fractional)
Si1 0.3755 0.8736 0.3755
Tc1 0.7500 0.7500 0.7500
Si2 0.8736 0.3755 0.3755
Zr1 0.0000 0.0000 0.0000
Si3 0.3755 0.3755 0.3755
Si4 0.3755 0.3755 0.8736

calculated total energy: -40.1 eV for the cell shown
N(E_F): 0.893 states/eV per atom
theoretical density: 5.8 g/cm³
formation energy without anion corrections: 92 meV per atom


[6]
The following is a DFT calculation (PBE) of crystalline ZrSiTc2 at its relaxed geometry.

a b c (Å): 4.3483 4.3487 3.2694
angles (deg): 90.00 90.00 90.00
Element x y z (fractional)
Si1 0.0000 0.5000 0.5000
Tc1 0.5000 0.5000 0.0000
Tc2 0.0000 0.0000 0.0000
Zr1 0.5000 0.0000 0.5000

calculated total energy: -36.2 eV for the cell shown
N(E_F): 1.252 states/eV per atom
theoretical density: 8.5 g/cm³
formation energy without anion corrections: -368 meV per atom


[7]
The following is a DFT calculation (PBE) of crystalline ZrSiTc2 at its relaxed geometry.

a b c (Å): 3.2015 3.2015 6.1090
angles (deg): 90.00 90.00 90.00
Element x y z (fractional)
Si1 0.5000 0.5000 0.7500
Tc1 0.0000 0.0000 0.5295
Tc2 0.0000 0.0000 0.9705
Zr1 0.5000 0.5000 0.2500

calculated total energy: -36.1 eV for the cell shown
N(E_F): 1.130 states/eV per atom
theoretical density: 8.4 g/cm³
formation energy without anion corrections: -360 meV per atom


[8]
The following is a DFT calculation (PBE) of crystalline Zr2SiTc at its relaxed geometry.

a b c (Å): 5.6135 5.6135 4.5453
angles (deg): 66.18 66.18 34.07
Element x y z (fractional)
Tc1 0.2408 0.2408 0.2595
Si1 0.5375 0.5375 0.4624
Zr1 0.9759 0.9759 0.0237
Zr2 0.7457 0.7457 0.7544

calculated total energy: -34.5 eV for the cell shown
N(E_F): 0.679 states/eV per atom
theoretical density: 7.0 g/cm³
formation energy without anion corrections: -416 meV per atom


[9]
The following is a DFT calculation (PBE) of crystalline Zr2SiTc at its relaxed geometry.

a b c (Å): 7.1592 4.4878 3.5414
angles (deg): 89.96 60.41 127.07
Element x y z (fractional)
Tc1 0.5000 0.5000 0.0000
Zr1 0.0000 0.0000 0.0000
Si1 0.0000 0.5000 0.5000
Zr2 0.5000 0.0000 0.5000

calculated total energy: -34.7 eV for the cell shown
N(E_F): 0.634 states/eV per atom
theoretical density: 7.2 g/cm³
formation energy without anion corrections: -460 meV per atom


[10]
The following is a DFT calculation (PBE) of crystalline ZrSiTc2 at its relaxed geometry.

a b c (Å): 9.1634 9.1634 9.1634
angles (deg): 18.05 18.05 18.05
Element x y z (fractional)
Tc1 0.2589 0.2589 0.2589
Tc2 0.0018 0.0018 0.0018
Zr1 0.4977 0.4977 0.4977
Si1 0.7416 0.7416 0.7416

calculated total energy: -34.7 eV for the cell shown
N(E_F): 0.854 states/eV per atom
theoretical density: 8.1 g/cm³
formation energy without anion corrections: 6 meV per atom


[11]
The following is a DFT calculation (PBE) of crystalline ZrSiTc2 at its relaxed geometry.

a b c (Å): 5.0464 5.0464 5.0464
angles (deg): 143.17 122.58 70.19
Element x y z (fractional)
Si1 0.2500 0.7500 0.5000
Zr1 0.7500 0.2500 0.5000
Tc1 0.0221 0.0221 0.0000
Tc2 0.4779 0.4779 0.0000

calculated total energy: -35.7 eV for the cell shown
N(E_F): 0.868 states/eV per atom
theoretical density: 8.2 g/cm³
formation energy without anion corrections: -259 meV per atom


[12]
The following is a DFT calculation (PBE) of crystalline ZrSiTc2 at its relaxed geometry.

a b c (Å): 4.3592 3.0298 5.0151
angles (deg): 75.11 90.00 90.00
Element x y z (fractional)
Zr1 0.0000 0.4718 0.5301
Si1 0.5000 0.9022 0.7506
Tc1 0.0000 0.8940 0.0199
Tc2 0.5000 0.2320 0.1994

calculated total energy: -35.9 eV for the cell shown
N(E_F): 0.723 states/eV per atom
theoretical density: 8.2 g/cm³
formation energy without anion corrections: -302 meV per atom


[13]
The following is a DFT calculation (PBE) of crystalline Zr2SiTc at its relaxed geometry.

a b c (Å): 3.4454 3.4415 6.9538
angles (deg): 60.33 90.00 90.00
Element x y z (fractional)
Zr1 0.0000 0.9966 0.0035
Si1 0.5000 0.2500 0.2500
Tc1 0.5000 0.7500 0.7500
Zr2 0.0000 0.5034 0.4965

calculated total energy: -34.8 eV for the cell shown
N(E_F): 0.843 states/eV per atom
theoretical density: 7.2 g/cm³
formation energy without anion corrections: -473 meV per atom


[14]
The following is a DFT calculation (PBE) of crystalline ZrSiTc2 at its relaxed geometry.

a b c (Å): 2.9245 2.9245 8.0354
angles (deg): 90.00 90.00 111.85
Element x y z (fractional)
Si1 0.5000 0.5000 0.7500
Tc1 0.0000 0.0000 0.5297
Tc2 0.0000 0.0000 0.9703
Zr1 0.5000 0.5000 0.2500

calculated total energy: -35.3 eV for the cell shown
N(E_F): 0.754 states/eV per atom
theoretical density: 8.2 g/cm³
formation energy without anion corrections: -146 meV per atom


[15]
The following is a DFT calculation (PBE) of crystalline ZrSiTc2 at its relaxed geometry.

a b c (Å): 7.8249 7.8249 7.8249
angles (deg): 23.31 23.31 23.31
Element x y z (fractional)
Zr1 0.2500 0.2500 0.2500
Si1 0.7500 0.7500 0.7500
Tc1 0.4897 0.4897 0.4897
Tc2 0.0103 0.0103 0.0103

calculated total energy: -35.0 eV for the cell shown
N(E_F): 0.644 states/eV per atom
theoretical density: 8.0 g/cm³
formation energy without anion corrections: -69 meV per atom


[16]
The following is a DFT calculation (PBE) of crystalline Si3Te5 at its relaxed geometry.

a b c (Å): 13.8997 12.6345 8.1788
angles (deg): 80.72 58.73 35.50
Element x y z (fractional)
Si1 0.6660 0.6699 0.4773
Te1 0.5766 0.6967 0.2179
Te2 0.4591 0.3179 0.7330
Te3 0.2821 0.9912 0.9234
Si2 0.4865 0.9182 0.0135
Si3 0.0227 0.3132 0.8340
Si4 0.5398 0.1405 0.9602
Te4 0.7670 0.0101 0.0409
Te5 0.8078 0.7790 0.6922
Si5 0.3658 0.5970 0.7515
Si6 0.7485 0.2143 0.1342
Te6 0.7237 0.4137 0.5147
Te7 0.9853 0.1520 0.7763
Te8 0.3261 0.6017 0.4732
Te9 0.2162 0.2768 0.2838
Te10 0.0268 0.9010 0.1739

calculated total energy: -61.1 eV for the cell shown
theoretical density: 4.0 g/cm³
excess energy over the best structure of this formula in the dataset: 0.000 eV per atom
formation energy without anion corrections: 179 meV per atom


[17]
The following is a DFT calculation (PBE) of crystalline Si3Te2 at its relaxed geometry.

a b c (Å): 8.7540 8.7540 8.7540
angles (deg): 25.88 25.88 25.88
Element x y z (fractional)
Te1 0.6031 0.6031 0.6031
Si1 0.1825 0.1825 0.1825
Si2 0.8175 0.8175 0.8175
Si3 0.0000 0.0000 0.0000
Te2 0.3969 0.3969 0.3969

calculated total energy: -21.3 eV for the cell shown
N(E_F): 0.526 states/eV per atom
theoretical density: 5.0 g/cm³
excess energy over the best structure of this formula in the dataset: 0.071 eV per atom
formation energy without anion corrections: 245 meV per atom


[18]
The following is a DFT calculation (PBE) of crystalline Si4Te at its relaxed geometry.

a b c (Å): 5.5801 5.5801 5.5801
angles (deg): 132.56 132.56 69.35
Element x y z (fractional)
Si1 0.2500 0.7500 0.5000
Te1 0.0000 0.0000 0.0000
Si2 0.6300 0.6300 0.0000
Si3 0.3700 0.3700 0.0000
Si4 0.7500 0.2500 0.5000

calculated total energy: -23.3 eV for the cell shown
N(E_F): 0.356 states/eV per atom
theoretical density: 4.3 g/cm³
excess energy over the best structure of this formula in the dataset: 0.000 eV per atom
formation energy without anion corrections: 317 meV per atom


[19]
The following is a DFT calculation (PBE) of crystalline Si3Te5 at its relaxed geometry.

a b c (Å): 7.9140 7.9140 7.5361
angles (deg): 90.00 90.00 120.00
Element x y z (fractional)
Te1 0.2352 0.2352 0.7500
Te2 0.0000 0.7648 0.7500
Te3 0.6667 0.3333 0.0000
Si1 0.5793 0.0000 0.2500
Te4 0.7648 0.7648 0.2500
Si2 0.0000 0.4207 0.7500
Te5 0.0000 0.2352 0.2500
Te6 0.7648 0.0000 0.7500
Te7 0.3333 0.6667 0.0000
Si3 0.4207 0.4207 0.2500
Si4 0.0000 0.5793 0.2500
Te8 0.6667 0.3333 0.5000
Si5 0.4207 0.0000 0.7500
Si6 0.5793 0.5793 0.7500
Te9 0.2352 0.0000 0.2500
Te10 0.3333 0.6667 0.5000

calculated total energy: -57.4 eV for the cell shown
N(E_F): 0.677 states/eV per atom
theoretical density: 5.9 g/cm³
excess energy over the best structure of this formula in the dataset: 0.234 eV per atom
formation energy without anion corrections: 413 meV per atom


[20]
The following is a DFT calculation (PBE) of crystalline Si5Te3 at its relaxed geometry.

a b c (Å): 3.5713 3.5713 14.4845
angles (deg): 90.00 90.00 90.00
Element x y z (fractional)
Te1 0.5000 0.5000 0.1171
Te2 0.5000 0.5000 0.8829
Si1 0.0000 0.0000 0.6849
Si2 0.5000 0.5000 0.2974
Si3 0.0000 0.0000 0.0000
Si4 0.5000 0.5000 0.7026
Si5 0.0000 0.0000 0.3151
Te3 0.0000 0.0000 0.5000

calculated total energy: -33.3 eV for the cell shown
N(E_F): 0.458 states/eV per atom
theoretical density: 4.7 g/cm³
excess energy over the best structure of this formula in the dataset: 0.000 eV per atom
formation energy without anion corrections: 401 meV per atom


[21]
The following is a DFT calculation (PBE) of crystalline Si5Te at its relaxed geometry.

a b c (Å): 3.2950 3.2950 9.9481
angles (deg): 90.00 90.00 90.00
Element x y z (fractional)
Si1 0.0000 0.0000 0.5000
Si2 0.0000 0.0000 0.2511
Te1 0.5000 0.5000 0.0000
Si3 0.5000 0.5000 0.6349
Si4 0.0000 0.0000 0.7489
Si5 0.5000 0.5000 0.3651

calculated total energy: -27.4 eV for the cell shown
N(E_F): 0.325 states/eV per atom
theoretical density: 4.1 g/cm³
excess energy over the best structure of this formula in the dataset: 0.111 eV per atom
formation energy without anion corrections: 482 meV per atom


[22]
The following is a DFT calculation (PBE) of crystalline Si5Te3 at its relaxed geometry.

a b c (Å): 10.7402 10.7420 10.7434
angles (deg): 93.92 93.91 149.70
Element x y z (fractional)
Si1 0.1446 0.5096 0.6535
Te1 0.1798 0.6785 0.8593
Te2 0.3216 0.1799 0.5000
Te3 0.8205 0.3191 0.1407
Si2 0.7506 0.2493 0.5000
Te4 0.2421 0.2536 0.9989
Si3 0.8565 0.4891 0.3464
Si4 0.5104 0.8557 0.3661
Si5 0.9910 0.3561 0.3465
Si6 0.3570 0.0095 0.3663
Te5 0.6805 0.8200 0.5000
Te6 0.7432 0.7547 0.0011
Si7 0.4908 0.1432 0.6337
Si8 0.2504 0.7494 0.5000
Si9 0.6443 0.9896 0.6339
Si10 0.0101 0.6427 0.6536

calculated total energy: -66.2 eV for the cell shown
N(E_F): 0.596 states/eV per atom
theoretical density: 2.9 g/cm³
excess energy over the best structure of this formula in the dataset: 0.032 eV per atom
formation energy without anion corrections: 432 meV per atom


[23]
The following is a DFT calculation (PBE) of crystalline Si5Te3 at its relaxed geometry.

a b c (Å): 9.4306 9.4306 4.6864
angles (deg): 90.00 90.00 120.00
Element x y z (fractional)
Si1 0.6667 0.3333 0.0000
Te1 0.3610 0.0000 0.7500
Si2 0.0000 0.1628 0.2500
Si3 0.1628 0.1628 0.7500
Si4 0.3333 0.6667 0.5000
Si5 0.6667 0.3333 0.5000
Si6 0.3333 0.6667 0.0000
Te2 0.0000 0.3610 0.7500
Te3 0.3610 0.3610 0.2500
Si7 0.8372 0.8372 0.2500
Si8 0.0000 0.8372 0.7500
Te4 0.6390 0.0000 0.2500
Si9 0.1628 0.0000 0.2500
Si10 0.8372 0.0000 0.7500
Te5 0.6390 0.6390 0.7500
Te6 0.0000 0.6390 0.2500

calculated total energy: -63.6 eV for the cell shown
N(E_F): 0.615 states/eV per atom
theoretical density: 4.8 g/cm³
excess energy over the best structure of this formula in the dataset: 0.193 eV per atom
formation energy without anion corrections: 593 meV per atom


[24]
The following is a DFT calculation (PBE) of crystalline Si4Te at its relaxed geometry.

a b c (Å): 5.1398 5.1398 5.1398
angles (deg): 90.00 90.00 90.00
Element x y z (fractional)
Si1 0.5000 0.5000 0.0000
Te1 0.5000 0.5000 0.5000
Si2 0.5000 0.0000 0.5000
Si3 0.0000 0.5000 0.5000
Si4 0.0000 0.0000 0.0000

calculated total energy: -16.6 eV for the cell shown
N(E_F): 0.545 states/eV per atom
theoretical density: 2.9 g/cm³
excess energy over the best structure of this formula in the dataset: 1.330 eV per atom
formation energy without anion corrections: 1646 meV per atom


[25]
The following is a DFT calculation (PBE) of crystalline Si5Te at its relaxed geometry.

a b c (Å): 5.7618 5.7618 5.6118
angles (deg): 75.19 75.19 37.04
Element x y z (fractional)
Si1 0.0174 0.0174 0.9035
Si2 0.9715 0.9715 0.4880
Si3 0.5936 0.5936 0.2079
Te1 0.3055 0.3055 0.0555
Si4 0.3056 0.3056 0.5549
Si5 0.6396 0.6396 0.6235

calculated total energy: -28.0 eV for the cell shown
N(E_F): 0.290 states/eV per atom
theoretical density: 4.1 g/cm³
excess energy over the best structure of this formula in the dataset: 0.000 eV per atom
formation energy without anion corrections: 371 meV per atom


[26]
The following is a DFT calculation (PBE) of crystalline Si5Te4 at its relaxed geometry.

a b c (Å): 8.0331 8.0331 8.0331
angles (deg): 92.83 92.83 154.34
Element x y z (fractional)
Si1 0.3084 0.6916 0.0000
Te1 0.2586 0.0000 0.2586
Si2 0.6916 0.6916 0.3831
Te2 0.0000 0.2586 0.2586
Te3 0.7414 0.0000 0.7414
Te4 0.0000 0.7414 0.7414
Si3 0.6916 0.3084 0.0000
Si4 0.0000 0.0000 0.0000
Si5 0.3084 0.3084 0.6169

calculated total energy: -36.2 eV for the cell shown
N(E_F): 0.419 states/eV per atom
theoretical density: 4.9 g/cm³
excess energy over the best structure of this formula in the dataset: 0.000 eV per atom
formation energy without anion corrections: 390 meV per atom